Compound: Sc3ZnO
Source: Alexandria via LeMat-Bulk
Functional: PBE
Structure: optimized geometry

Its uncorrected formation energy is -1.300 eV per atom. The value obtained for the total energy is -6.3456 eV per atom. The density of states at the Fermi level is 9.1 states/eV/cell.

a = 15.179 Å, b = 5.621 Å, c = 5.621 Å
α = 132.36°, β = 143.50°, γ = 36.50°
Fractional positions:
1 Sc 0.925 0.438 0.562
2 Zn 0.567 0.030 0.970
3 Sc 0.206 0.688 0.312
4 Zn 0.433 0.970 0.030
5 O 0.928 0.946 0.054
6 O 0.072 0.054 0.946
7 Sc 0.348 0.801 0.199
8 Sc 0.794 0.312 0.688
9 Sc 0.652 0.199 0.801
10 Sc 0.075 0.562 0.438


Compound: Sc3ZnO
Source: Alexandria via LeMat-Bulk
Functional: PBE
Structure: optimized geometry

Its uncorrected formation energy is -0.977 eV per atom. The value obtained for the total energy is -6.0223 eV per atom. The density of states at the Fermi level is 9.9 states/eV/cell.

a = 6.115 Å, b = 6.115 Å, c = 6.918 Å
α = 63.77°, β = 63.77°, γ = 90.00°
Fractional positions:
1 Sc 0.118 0.372 0.765
2 Sc 0.374 0.374 0.252
3 Sc 0.137 0.882 0.235
4 O 0.000 0.000 0.000
5 O 0.250 0.750 0.500
6 Zn 0.628 0.128 0.745
7 Sc 0.626 0.626 0.748
8 Sc 0.118 0.863 0.765
9 Sc 0.628 0.882 0.235
10 Zn 0.872 0.372 0.255


Compound: Sc3ZnO
Source: Alexandria via LeMat-Bulk
Functional: PBE
Structure: optimized geometry

Its uncorrected formation energy is -1.283 eV per atom. The value obtained for the total energy is -6.3282 eV per atom. The density of states at the Fermi level is 5.6 states/eV/cell.

a = 5.634 Å, b = 6.658 Å, c = 6.115 Å
α = 66.42°, β = 92.59°, γ = 60.50°
Fractional positions:
1 Sc 0.701 0.592 0.831
2 Sc 0.535 0.140 0.562
3 O 0.708 0.839 0.447
4 Zn 0.129 0.596 0.092
5 Sc 0.137 0.670 0.560
6 Sc 0.582 0.138 0.063
7 O 0.615 0.369 0.696
8 Sc 0.646 0.601 0.331
9 Zn 0.072 0.147 0.300
10 Sc 0.098 0.054 0.836


Compound: Sc3ZnO
Source: Alexandria via LeMat-Bulk
Functional: PBE
Structure: optimized geometry

Its uncorrected formation energy is -1.253 eV per atom. The value obtained for the total energy is -6.2988 eV per atom. The density of states at the Fermi level is 19.7 states/eV/cell.

a = 22.704 Å, b = 5.691 Å, c = 8.900 Å
α = 90.00°, β = 162.63°, γ = 90.00°
Fractional positions:
1 Sc 0.213 0.416 0.576
2 Sc 0.646 0.572 0.743
3 O 0.476 0.242 0.353
4 Zn 0.008 0.158 0.425
5 Sc 0.092 0.389 0.918
6 Sc 0.713 0.084 0.076
7 Sc 0.146 0.928 0.243
8 Zn 0.508 0.342 0.925
9 Zn 0.492 0.658 0.075
10 Sc 0.408 0.889 0.582
11 Sc 0.787 0.584 0.424
12 Sc 0.287 0.916 0.924
13 Zn 0.992 0.842 0.575
14 O 0.024 0.742 0.147
15 O 0.976 0.258 0.853
16 Sc 0.908 0.611 0.082
17 Sc 0.854 0.072 0.757
18 O 0.524 0.758 0.647
19 Sc 0.354 0.428 0.257
20 Sc 0.592 0.111 0.418


Compound: ScZnO3
Source: Alexandria via LeMat-Bulk
Functional: PBE
Structure: optimized geometry

Its uncorrected formation energy is -1.476 eV per atom. The value obtained for the total energy is -5.9721 eV per atom. The density of states at the Fermi level is 1.1 states/eV/cell.

a = 3.748 Å, b = 3.748 Å, c = 3.748 Å
α = 90.00°, β = 90.00°, γ = 90.00°
Fractional positions:
1 O 0.000 0.500 0.000
2 O 0.500 0.000 0.000
3 Zn 0.000 0.000 0.000
4 O 0.000 0.000 0.500
5 Sc 0.500 0.500 0.500


Compound: Sc3ZnO
Source: Alexandria via LeMat-Bulk
Functional: PBE
Structure: optimized geometry

Its uncorrected formation energy is -1.227 eV per atom. The value obtained for the total energy is -6.2726 eV per atom. The density of states at the Fermi level is 26.4 states/eV/cell.

a = 12.483 Å, b = 8.085 Å, c = 8.085 Å
α = 104.85°, β = 133.33°, γ = 46.67°
Fractional positions:
1 Sc 0.868 0.801 0.769
2 O 0.250 0.969 0.831
3 O 0.250 0.331 0.469
4 Sc 0.481 0.930 0.161
5 O 0.750 0.669 0.531
6 Sc 0.626 0.658 0.601
7 Sc 0.368 0.731 0.699
8 Sc 0.019 0.661 0.430
9 Zn 0.750 0.574 0.074
10 Sc 0.132 0.199 0.231
11 Sc 0.519 0.070 0.839
12 O 0.750 0.031 0.169
13 Zn 0.250 0.748 0.248
14 Zn 0.250 0.426 0.926
15 Zn 0.750 0.252 0.752
16 Sc 0.874 0.101 0.158
17 Sc 0.981 0.339 0.570
18 Sc 0.374 0.342 0.399
19 Sc 0.126 0.899 0.842
20 Sc 0.632 0.269 0.301


Compound: ZrSc2ZnO
Source: Alexandria via LeMat-Bulk
Functional: PBE
Structure: optimized geometry

Its uncorrected formation energy is -1.299 eV per atom. The value obtained for the total energy is -6.7878 eV per atom. The density of states at the Fermi level is 3.1 states/eV/cell.

a = 4.349 Å, b = 4.349 Å, c = 4.483 Å
α = 90.00°, β = 90.00°, γ = 90.00°
Fractional positions:
1 Sc 0.500 0.000 0.000
2 Zr 0.000 0.000 0.500
3 Zn 0.500 0.500 0.500
4 Sc 0.000 0.500 0.000
5 O 0.000 0.000 0.000


Compound: ZrScZnO2
Source: Alexandria via LeMat-Bulk
Functional: PBE
Structure: optimized geometry

Its uncorrected formation energy is -1.045 eV per atom. The value obtained for the total energy is -6.2586 eV per atom. The density of states at the Fermi level is 3.6 states/eV/cell.

a = 4.098 Å, b = 6.285 Å, c = 4.098 Å
α = 90.00°, β = 90.00°, γ = 90.00°
Fractional positions:
1 Zn 0.500 0.500 0.500
2 Sc 0.000 0.500 0.000
3 Zr 0.000 0.000 0.000
4 O 0.500 0.000 0.000
5 O 0.000 0.000 0.500


Compound: Zr8Sc2O19
Source: Alexandria via LeMat-Bulk
Functional: PBE
Structure: optimized geometry

Its uncorrected formation energy is -3.298 eV per atom. The value obtained for the total energy is -9.3415 eV per atom. The density of states at the Fermi level is 0.0 states/eV/cell.

a = 3.639 Å, b = 36.420 Å, c = 34.746 Å
α = 5.20°, β = 58.40°, γ = 60.01°
Fractional positions:
1 O 0.797 0.437 0.704
2 Zr 0.011 0.108 0.990
3 O 0.733 0.486 0.768
4 O 0.837 0.272 0.660
5 O 0.181 0.346 0.318
6 O 0.221 0.678 0.277
7 O 0.276 0.522 0.223
8 O 0.318 0.854 0.183
9 O 0.719 0.274 0.782
10 Zr 0.997 0.498 0.002
11 O 0.748 0.100 0.750
12 Zr 0.976 0.682 0.023
13 Sc 0.007 0.807 0.992
14 Zr 0.024 0.018 0.977
15 Zr 0.989 0.592 0.010
16 O 0.274 0.019 0.226
17 O 0.221 0.876 0.280
18 O 0.252 0.102 0.248
19 O 0.771 0.717 0.729
20 O 0.658 0.928 0.840
21 Zr 0.001 0.301 0.999
22 O 0.782 0.926 0.717
23 Zr 0.003 0.203 0.997
24 O 0.282 0.326 0.218
25 O 0.224 0.180 0.276
26 O 0.702 0.762 0.797
27 O 0.749 0.599 0.751
28 Zr 0.001 0.401 0.999
29 Sc 0.992 0.893 0.009


Compound: Zr3Sc4O12
Source: Alexandria via LeMat-Bulk
Functional: PBE
Structure: optimized geometry

Its uncorrected formation energy is -3.431 eV per atom. The value obtained for the total energy is -9.2453 eV per atom. The density of states at the Fermi level is 0.0 states/eV/cell.

a = 6.206 Å, b = 6.238 Å, c = 12.456 Å
α = 99.59°, β = 99.42°, γ = 99.52°
Fractional positions:
1 Sc 0.394 0.680 0.930
2 O 0.423 0.822 0.788
3 O 0.576 0.179 0.707
4 Sc 0.143 0.608 0.159
5 O 0.423 0.822 0.293
6 O 0.079 0.935 0.663
7 O 0.918 0.062 0.337
8 Zr 0.311 0.137 0.307
9 O 0.585 0.425 0.910
10 Zr 0.996 0.994 0.496
11 O 0.320 0.099 0.472
12 O 0.580 0.415 0.410
13 O 0.181 0.420 0.785
14 O 0.942 0.324 0.048
15 Sc 0.863 0.395 0.842
16 O 0.101 0.940 0.159
17 O 0.424 0.576 0.090
18 O 0.819 0.582 0.712
19 Sc 0.609 0.318 0.570
20 O 0.942 0.315 0.553
21 O 0.180 0.420 0.288
22 O 0.897 0.061 0.840
23 O 0.571 0.179 0.211
24 Zr 0.998 0.995 0.999
25 O 0.318 0.107 0.969
26 O 0.674 0.900 0.528
27 Sc 0.860 0.395 0.339
28 Zr 0.139 0.608 0.657
29 O 0.820 0.580 0.211
30 Zr 0.687 0.867 0.695
31 O 0.063 0.672 0.460
32 Sc 0.392 0.671 0.427
33 Sc 0.322 0.147 0.804
34 O 0.423 0.578 0.591
35 O 0.063 0.680 0.950
36 O 0.673 0.920 0.032
37 Sc 0.677 0.857 0.196
38 Zr 0.612 0.315 0.069


Compound: ZrScO
Source: Alexandria via LeMat-Bulk
Functional: PBE
Structure: optimized geometry

Its uncorrected formation energy is -1.652 eV per atom. The value obtained for the total energy is -8.2642 eV per atom. The density of states at the Fermi level is 2.4 states/eV/cell.

a = 3.195 Å, b = 3.195 Å, c = 9.630 Å
α = 90.00°, β = 90.00°, γ = 90.03°
Fractional positions:
1 O 0.250 0.750 0.100
2 Zr 0.250 0.750 0.853
3 Sc 0.750 0.250 0.630
4 O 0.750 0.250 0.900
5 Sc 0.250 0.750 0.370
6 Zr 0.750 0.250 0.147


Compound: Zr9ScO20
Source: Alexandria via LeMat-Bulk
Functional: PBE
Structure: optimized geometry

Its uncorrected formation energy is -3.234 eV per atom. The value obtained for the total energy is -9.3154 eV per atom. The density of states at the Fermi level is 21.9 states/eV/cell.

a = 6.414 Å, b = 7.383 Å, c = 8.165 Å
α = 77.24°, β = 75.24°, γ = 72.23°
Fractional positions:
1 O 0.224 0.969 0.767
2 O 0.491 0.317 0.331
3 O 0.086 0.723 0.139
4 O 0.179 0.121 0.443
5 Zr 0.800 0.200 0.403
6 Zr 0.592 0.906 0.799
7 O 0.312 0.376 0.064
8 O 0.615 0.576 0.960
9 O 0.125 0.577 0.460
10 O 0.811 0.387 0.555
11 O 0.719 0.974 0.260
12 O 0.278 0.527 0.747
13 Zr 0.401 0.599 0.202
14 Zr 0.398 0.101 0.207
15 O 0.783 0.525 0.235
16 Zr 0.000 0.499 0.993
17 O 0.982 0.318 0.837
18 O 0.417 0.779 0.362
19 O 0.911 0.781 0.863
20 O 0.385 0.922 0.042
21 Zr 0.998 0.001 0.999
22 O 0.519 0.182 0.659
23 Sc 0.201 0.301 0.600
24 Zr 0.809 0.695 0.400
25 O 0.585 0.723 0.637
26 Zr 0.201 0.800 0.600
27 O 0.015 0.177 0.162
28 O 0.883 0.921 0.539
29 Zr 0.600 0.400 0.797
30 O 0.681 0.124 0.939